# SbTe2OsN | Alexandria | GGA-PBE | optimized geometry
data_SbTe2OsN
_cell_length_a 5.6182
_cell_length_b 5.6182
_cell_length_c 3.7643
_cell_angle_alpha 90.00
_cell_angle_beta 90.00
_cell_angle_gamma 90.00
_symmetry_space_group_name_H-M 'P 4/m m m'
_symmetry_Int_Tables_number 123
_symmetry_space_group_name_Hall '-P 4 2'
loop_
_atom_site_label
_atom_site_type_symbol
_atom_site_fract_x
_atom_site_fract_y
_atom_site_fract_z
Sb1 Sb 0.0000 0.0000 0.0000
Te1 Te 0.0000 0.5000 0.0000
Os1 Os 0.5000 0.5000 0.5000
N1 N 0.0000 0.0000 0.5000
# formation energy (no corrections): 1769.6 meV per atom
# spin magnetization: 0.13 μB/f.u.

# MoAuSe2 | Alexandria | GGA-PBE | optimized geometry
data_MoAuSe2
_cell_length_a 3.3335
_cell_length_b 3.3335
_cell_length_c 25.3589
_cell_angle_alpha 90.00
_cell_angle_beta 90.00
_cell_angle_gamma 120.00
_symmetry_space_group_name_H-M 'R -3 m'
_symmetry_Int_Tables_number 166
_symmetry_space_group_name_Hall '-R 3 2"'
loop_
_atom_site_label
_atom_site_type_symbol
_atom_site_fract_x
_atom_site_fract_y
_atom_site_fract_z
Mo1 Mo 0.0000 0.0000 0.0000
Au1 Au 0.0000 0.0000 0.5000
Se1 Se 0.0000 0.0000 0.4000
# formation energy (no corrections): -171.6 meV per atom
# spin magnetization: 0.00 μB/f.u.

# Zr2Al3Si3 | Alexandria | GGA-PBE | optimized geometry
data_Zr2Al3Si3
_cell_length_a 5.5153
_cell_length_b 6.1577
_cell_length_c 9.2861
_cell_angle_alpha 97.08
_cell_angle_beta 106.23
_cell_angle_gamma 104.35
_symmetry_space_group_name_H-M 'P -1'
_symmetry_Int_Tables_number 2
loop_
_symmetry_equiv_pos_as_xyz
'x,y,z'
'-x,-y,-z'
loop_
_atom_site_label
_atom_site_type_symbol
_atom_site_fract_x
_atom_site_fract_y
_atom_site_fract_z
Zr1 Zr 0.0419 0.2619 0.4693
Zr2 Zr 0.4320 0.3113 0.2312
Al1 Al 0.0193 0.4939 0.7900
Al2 Al 0.1655 0.9534 0.9200
Al3 Al 0.4033 0.1124 0.7082
Si1 Si 0.1527 0.9269 0.3100
Si2 Si 0.3971 0.6535 0.4573
Si3 Si 0.4180 0.6532 0.0323
# formation energy (no corrections): -287.5 meV per atom
# spin magnetization: 0.00 μB/f.u.

# YIn2TcP | Alexandria | GGA-PBE | optimized geometry
data_YIn2TcP
_cell_length_a 5.7795
_cell_length_b 5.7795
_cell_length_c 4.9049
_cell_angle_alpha 90.00
_cell_angle_beta 90.00
_cell_angle_gamma 90.00
_symmetry_space_group_name_H-M 'P 4/m m m'
_symmetry_Int_Tables_number 123
_symmetry_space_group_name_Hall '-P 4 2'
loop_
_atom_site_label
_atom_site_type_symbol
_atom_site_fract_x
_atom_site_fract_y
_atom_site_fract_z
Y1 Y 0.0000 0.0000 0.0000
In1 In 0.0000 0.5000 0.0000
Tc1 Tc 0.0000 0.0000 0.5000
P1 P 0.5000 0.5000 0.5000
# spin magnetization: 2.59 μB/f.u.
# energy relative to the elements: 1.52 eV per atom

# Pm5TePt2 | Alexandria | GGA-PBE | optimized geometry
data_Pm5TePt2
_cell_length_a 8.0475
_cell_length_b 8.0475
_cell_length_c 13.8112
_cell_angle_alpha 90.00
_cell_angle_beta 90.00
_cell_angle_gamma 90.00
_symmetry_space_group_name_H-M 'I 4/m c m'
_symmetry_Int_Tables_number 140
_symmetry_space_group_name_Hall '-I 4 2c'
loop_
_atom_site_label
_atom_site_type_symbol
_atom_site_fract_x
_atom_site_fract_y
_atom_site_fract_z
Pm1 Pm 0.0000 0.0000 0.0000
Pm2 Pm 0.1555 0.3445 0.1373
Te1 Te 0.0000 0.0000 0.2500
Pt1 Pt 0.1393 0.3607 0.5000
# formation energy (no corrections): -956.1 meV per atom
# spin magnetization: 0.00 μB/f.u.

# LiScMo2 | Alexandria | GGA-PBE | optimized geometry
data_LiScMo2
_cell_length_a 2.6948
_cell_length_b 4.8435
_cell_length_c 5.2460
_cell_angle_alpha 90.00
_cell_angle_beta 101.08
_cell_angle_gamma 90.00
_symmetry_space_group_name_H-M 'P 1 2/m 1'
_symmetry_Int_Tables_number 10
loop_
_symmetry_equiv_pos_as_xyz
'x,y,z'
'-x,-y,-z'
'-x,y,-z'
'x,-y,z'
loop_
_atom_site_label
_atom_site_type_symbol
_atom_site_fract_x
_atom_site_fract_y
_atom_site_fract_z
Li1 Li 0.0000 0.0000 0.0000
Sc1 Sc 0.5000 0.0000 0.5000
Mo1 Mo 0.1824 0.5000 0.7429
# spin magnetization: 0.00 μB/f.u.
# energy relative to the elements: 0.27 eV per atom

| no. | energy (eV for the cell shown) | DOS at the Fermi energy (states/eV/f.u.) |
| --- | --- | --- |
| 1 | -21.11 | 6.037 |
| 2 | -65.29 | 2.705 |
| 3 | -93.79 | 3.213 |
| 4 | -20.11 | 4.489 |
| 5 | -186.50 | 7.329 |
| 6 | -28.82 | 2.489 |